Entry 1:
Compound: ScReCl2
Source: Alexandria
Functional: PBE
Structure: optimized geometry

Summary:
energy above the most stable polymorph in this dataset: 0.000 eV/atom
theoretical density: 5.8 g/cm3
ΔE_f (raw): -0.521 eV per atom

Cell: 3.2825 3.2825 27.7146 Å, 90.00 90.00 120.00°
Space group R3m (No. 160, hexagonal axes)
Unique sites:
Sc 0.0000 0.0000 0.0000 [3 per cell]
Re 0.0000 0.0000 0.7415 [3 per cell]
Cl 0.0000 0.0000 0.2708 [3 per cell]
Cl 0.0000 0.0000 0.4694 [3 per cell]

Entry 2:
Compound: Sc2ReCl
Source: Alexandria
Functional: PBE
Structure: optimized geometry

Summary:
energy above the most stable polymorph in this dataset: 0.123 eV/atom
theoretical density: 6.9 g/cm3
ΔE_f (raw): -0.595 eV per atom

Cell: 3.2851 3.2851 24.1032 Å, 90.00 90.00 120.00°
Space group R-3m (No. 166, hexagonal axes)
Unique sites:
Sc 0.0000 0.0000 0.2476 [6 per cell]
Re 0.0000 0.0000 0.5000 [3 per cell]
Cl 0.0000 0.0000 0.0000 [3 per cell]

Entry 3:
Compound: ScRe2Cl
Source: Alexandria
Functional: PBE
Structure: optimized geometry

Summary:
energy above the most stable polymorph in this dataset: 0.000 eV/atom
theoretical density: 10.7 g/cm3
ΔE_f (raw): -0.262 eV per atom

Cell: 3.0501 3.0637 15.1002 Å, 90.00 90.00 90.00°
Space group Amm2 (No. 38)
Unique sites:
Sc 0.0000 0.0000 0.0000 [2 per cell]
Re 0.0000 0.0000 0.2222 [2 per cell]
Re 0.5000 0.0000 0.6291 [2 per cell]
Cl 0.5000 0.0000 0.3780 [2 per cell]

Entry 4:
Compound: Sc2ReCl
Source: Alexandria
Functional: PBE
Structure: optimized geometry

Summary:
energy above the most stable polymorph in this dataset: 1.207 eV/atom
theoretical density: 7.1 g/cm3
ΔE_f (raw): 0.489 eV per atom

Cell: 6.6281 6.6281 6.6281 Å, 90.00 90.00 90.00°
Space group F-43m (No. 216)
Unique sites:
Sc 0.0000 0.0000 0.0000 [4 per cell]
Sc 0.2500 0.2500 0.2500 [4 per cell]
Re 0.2500 0.2500 0.7500 [4 per cell]
Cl 0.0000 0.0000 0.5000 [4 per cell]

Entry 5:
Compound: Sc2ReCl
Source: Alexandria
Functional: PBE
Structure: optimized geometry

Summary:
energy above the most stable polymorph in this dataset: 0.778 eV/atom
theoretical density: 6.5 g/cm3
ΔE_f (raw): 0.059 eV per atom

Cell: 3.2439 5.9739 8.2466 Å, 90.00 90.00 90.00°
Space group Immm (No. 71)
Unique sites:
Sc 0.0000 0.0000 0.2407 [4 per cell]
Re 0.0000 0.5000 0.0000 [2 per cell]
Cl 0.0000 0.5000 0.5000 [2 per cell]

Entry 6:
Compound: ScReCl2
Source: Alexandria
Functional: PBE
Structure: optimized geometry

Summary:
energy above the most stable polymorph in this dataset: 0.476 eV/atom
theoretical density: 5.9 g/cm3
ΔE_f (raw): -0.045 eV per atom

Cell: 3.0743 3.0743 31.2104 Å, 90.00 90.00 120.00°
Space group R-3m (No. 166, hexagonal axes)
Unique sites:
Sc 0.0000 0.0000 0.0000 [3 per cell]
Re 0.0000 0.0000 0.5000 [3 per cell]
Cl 0.0000 0.0000 0.2772 [6 per cell]